Material: Li7Fe5O12
Method: DFT, GGA+U
State: relaxed

```
data_Li7Fe5O12
_chemical_formula_sum 'Li14 Fe10 O24'
_space_group_name_H-M_alt 'C 1 2 1'
_space_group_IT_number 5
_cell_length_a 5.0352
_cell_length_b 8.6325
_cell_length_c 9.6975
_cell_angle_alpha 90.00
_cell_angle_beta 99.25
_cell_angle_gamma 90.00
loop_
_space_group_symop_operation_xyz
'x,y,z'
'-x,y,-z'
'x+1/2,y+1/2,z'
'-x+1/2,y+1/2,-z'
loop_
_atom_site_label
_atom_site_type_symbol
_atom_site_fract_x
_atom_site_fract_y
_atom_site_fract_z
Li1 Li 0.0000 0.0000 0.0000
Li2 Li 0.2411 0.0012 0.7487
Li3 Li 0.2420 0.1661 0.2501
Li4 Li 0.2450 0.3344 0.7474
Fe1 Fe 0.0000 0.1674 0.5000
Fe2 Fe 0.0000 0.3289 0.0000
Fe3 Fe 0.0000 0.5009 0.5000
Fe4 Fe 0.0000 0.6651 0.0000
Fe5 Fe 0.0000 0.8338 0.5000
O1 O 0.0998 0.4992 0.8869
O2 O 0.1228 0.1800 0.8829
O3 O 0.1322 0.0003 0.3888
O4 O 0.1337 0.3345 0.3911
O5 O 0.1336 0.6672 0.3906
O6 O 0.1404 0.8200 0.8892
```

As for the density of states at the Fermi level: 0.00 states/eV per atom. As for the distance to the lowest polymorph of the same formula: 0.184 eV per atom. The density is 4149 kg/m³.